Pm3NdSm6 after structural relaxation, computed with PBE.

a b c (Å): 10.0434 10.0434 11.8711
angles (deg): 90.00 90.00 120.00
Closest atoms and distances in Å follow each position.
Space group R3 (No. 146, hexagonal axes)
Asymmetric unit:
Pm (0.0000, 0.0000, 0.0000) x3  1 Pm 2.96, 1 Nd 2.98
Pm (0.0000, 0.0000, 0.2490) x3  2 Pm 2.96, 3 Sm 3.27
Pm (0.0000, 0.0000, 0.4983) x3  1 Pm 2.96, 1 Nd 2.98
Nd (0.0000, 0.0000, 0.7490) x3  2 Pm 2.98, 3 Sm 3.28
Sm (0.9999, 0.3264, 0.7480) x9  1 Nd 3.28, 2 Pm 3.52
Sm (0.9999, 0.6741, 0.2480) x9  3 Pm 3.27-3.53

Output
E_tot: -44.8 eV/f.u.
ΔE_f: 0.249 eV/atom

***

PmNd5Sm12 after structural relaxation, computed with PBE.

a b c (Å): 11.5562 17.6859 6.0700
angles (deg): 90.00 90.00 90.00
Closest atoms and distances in Å follow each position.
Space group C2/m (No. 12)
Asymmetric unit:
Pm (0.0000, 0.0000, 0.0000) x2  8 Sm 3.40-3.73
Nd (0.0000, 0.1668, 0.5000) x4  8 Sm 3.41-3.74
Nd (0.0000, 0.3341, 0.0000) x4  8 Sm 3.41-3.75
Nd (0.0000, 0.5000, 0.5000) x2  8 Sm 3.41-3.75
Sm (0.1767, 0.0000, 0.4476) x4  1 Pm 3.40, 4 Sm 3.45-3.47, 3 Nd 3.60-3.75
Sm (0.1767, 0.1667, 0.0509) x8  3 Nd 3.41-3.75, 6 Sm 3.45-3.81, 1 Pm 3.60
Sm (0.1775, 0.3335, 0.4489) x8  4 Nd 3.41-3.74, 6 Sm 3.45-3.81
Sm (0.1785, 0.5000, 0.0525) x4  3 Nd 3.41-3.60, 6 Sm 3.45-3.80, 1 Pm 3.73

Output
E_tot: -83.4 eV/f.u.
ΔE_f: 0.100 eV/atom

***

Pm8NdSm6 after structural relaxation, computed with PBE.

a b c (Å): 9.3905 9.3905 20.4124
angles (deg): 90.00 90.00 120.00
Closest atoms and distances in Å follow each position.
Space group R-3 (No. 148, hexagonal axes)
Asymmetric unit:
Pm (0.0000, 0.0000, 0.0720) x6  1 Pm 2.94, 3 Sm 3.25
Pm (0.0684, 0.8229, 0.6608) x18  6 Pm 3.47-3.81, 3 Sm 3.48-3.76, 1 Nd 3.87
Nd (0.0000, 0.0000, 0.5000) x3  6 Sm 3.54, 6 Pm 3.87
Sm (0.0461, 0.8001, 0.1924) x18  3 Pm 3.25-3.56, 1 Nd 3.54

Output
E_tot: -68.9 eV/f.u.
ΔE_f: 0.148 eV/atom